No. 1
First-principles (GGA-PBE) data for a relaxed structure of Er4Ag2HgAu, as listed in Alexandria.

Computed properties:
formation energy	-509	meV/atom
space-group type	No. 166
N(E_F)	6.344	states/eV/cell

a b c (Å): 8.853 8.853 8.853
angles (deg): 33.57 33.57 33.57
Atoms (fractional coordinates):
Er1 0.122 0.122 0.122
Er2 0.372 0.372 0.372
Er3 0.628 0.628 0.628
Er4 0.878 0.878 0.878
Ag1 0.247 0.247 0.247
Ag2 0.753 0.753 0.753
Hg1 0.500 0.500 0.500
Au1 0.000 0.000 0.000

=====

No. 2
First-principles (GGA-PBE) data for a relaxed structure of ErAgHgAu, as listed in Alexandria.

Computed properties:
formation energy	-443	meV/atom
energy above the most stable polymorph in this dataset	8	meV/atom
space-group type	No. 216
N(E_F)	3.378	states/eV/cell

a b c (Å): 4.924 4.924 4.924
angles (deg): 60.00 60.00 60.00
Atoms (fractional coordinates):
Er1 0.000 0.000 0.000
Ag1 0.500 0.500 0.500
Hg1 0.250 0.250 0.250
Au1 0.750 0.750 0.750

=====

No. 3
First-principles (GGA-PBE) data for a relaxed structure of Er4AgHgAu2, as listed in Alexandria.

Computed properties:
formation energy	-639	meV/atom
space-group type	No. 166
N(E_F)	6.171	states/eV/cell

a b c (Å): 8.837 8.837 8.837
angles (deg): 33.54 33.54 33.54
Atoms (fractional coordinates):
Er1 0.124 0.124 0.124
Er2 0.374 0.374 0.374
Er3 0.626 0.626 0.626
Er4 0.876 0.876 0.876
Ag1 0.000 0.000 0.000
Hg1 0.500 0.500 0.500
Au1 0.251 0.251 0.251
Au2 0.749 0.749 0.749